A plane-wave DFT calculation with PBE was carried out for a geometry-optimized NdYTeI structure.

Structure (CIF):
```
data_NdYTeI
_symmetry_space_group_name_H-M 'F -4 3 m'
_symmetry_Int_Tables_number 216
_symmetry_space_group_name_Hall 'F -4 2 3'
_cell_length_a 7.6742
_cell_length_b 7.6742
_cell_length_c 7.6742
_cell_angle_alpha 90.00
_cell_angle_beta 90.00
_cell_angle_gamma 90.00
loop_
_atom_site_label
_atom_site_type_symbol
_atom_site_fract_x
_atom_site_fract_y
_atom_site_fract_z
Nd1 Nd 0.0000 0.0000 0.0000
Y1 Y 0.0000 0.0000 0.5000
Te1 Te 0.2500 0.2500 0.2500
I1 I 0.2500 0.2500 0.7500
```

Computed properties:
Formation energy (no corrections) in eV per atom: -1.031



A plane-wave DFT calculation with PBE was carried out for a geometry-optimized Nd2TiI structure.

Structure (CIF):
```
data_Nd2TiI
_symmetry_space_group_name_H-M 'R -3 m'
_symmetry_Int_Tables_number 166
_symmetry_space_group_name_Hall '-R 3 2"'
_cell_length_a 3.5574
_cell_length_b 3.5574
_cell_length_c 33.7474
_cell_angle_alpha 90.00
_cell_angle_beta 90.00
_cell_angle_gamma 120.00
loop_
_atom_site_label
_atom_site_type_symbol
_atom_site_fract_x
_atom_site_fract_y
_atom_site_fract_z
Nd1 Nd 0.0000 0.0000 0.0894
Ti1 Ti 0.0000 0.0000 0.0000
I1 I 0.0000 0.0000 0.5000
```

Computed properties:
Formation energy (no corrections) in eV per atom: 0.176



A plane-wave DFT calculation with PBE was carried out for a geometry-optimized NdTiI structure.

Structure (CIF):
```
data_NdTiI
_symmetry_space_group_name_H-M 'C 1 2/m 1'
_symmetry_Int_Tables_number 12
_cell_length_a 11.3449
_cell_length_b 3.6762
_cell_length_c 7.9490
_cell_angle_alpha 90.00
_cell_angle_beta 91.84
_cell_angle_gamma 90.00
loop_
_symmetry_equiv_pos_as_xyz
'x,y,z'
'-x,-y,-z'
'-x,y,-z'
'x,-y,z'
'x+1/2,y+1/2,z'
'-x+1/2,-y+1/2,-z'
'-x+1/2,y+1/2,-z'
'x+1/2,-y+1/2,z'
loop_
_atom_site_label
_atom_site_type_symbol
_atom_site_fract_x
_atom_site_fract_y
_atom_site_fract_z
Nd1 Nd 0.0654 0.0000 0.2167
Ti1 Ti 0.1302 0.5000 0.5279
I1 I 0.2068 0.0000 0.7937
```

Computed properties:
Formation energy (no corrections) in eV per atom: -0.168



A plane-wave DFT calculation with PBE was carried out for a geometry-optimized Nd2TlI2 structure.

Structure (CIF):
```
data_Nd2TlI2
_symmetry_space_group_name_H-M 'R -3 m'
_symmetry_Int_Tables_number 166
_symmetry_space_group_name_Hall '-R 3 2"'
_cell_length_a 4.3053
_cell_length_b 4.3053
_cell_length_c 36.7564
_cell_angle_alpha 90.00
_cell_angle_beta 90.00
_cell_angle_gamma 120.00
loop_
_atom_site_label
_atom_site_type_symbol
_atom_site_fract_x
_atom_site_fract_y
_atom_site_fract_z
Nd1 Nd 0.0000 0.0000 0.1112
Tl1 Tl 0.0000 0.0000 0.5000
I1 I 0.0000 0.0000 0.2776
```

Computed properties:
Formation energy (no corrections) in eV per atom: -0.945